Th2GaCo12C3 after structural relaxation, computed with PBE.

Cell lengths 6.689, 6.689, 6.689 Å; angles 63.79, 63.79, 63.79 degrees
Positions (direct):
Th  0.106  0.106  0.106
Th  0.894  0.894  0.894
Ga  0.500  0.500  0.500
Co  0.087  0.632  0.632
Co  0.220  0.220  0.609
Co  0.220  0.609  0.220
Co  0.368  0.368  0.913
Co  0.368  0.913  0.368
Co  0.391  0.780  0.780
Co  0.609  0.220  0.220
Co  0.632  0.087  0.632
Co  0.632  0.632  0.087
Co  0.780  0.391  0.780
Co  0.780  0.780  0.391
Co  0.913  0.368  0.368
C  0.000  0.500  0.500
C  0.500  0.000  0.500
C  0.500  0.500  0.000

Values from the calculation:
**Total magnetization**: 4.87 Bohr magnetons per cell
**Space group**: R-3m, No. 166
**Raw total energy**: -7.172 eV/atom
**Fermi-level density of states**: 1.1343 states/eV/atom
**Energy of formation**: 0.095 eV per atom


TiGaCo2C after structural relaxation, computed with PBE.

Cell lengths 3.819, 3.819, 4.103 Å; angles 90.00, 90.00, 90.00 degrees
Positions (direct):
Ti  0.000  0.000  0.000
Ga  0.500  0.500  0.000
Co  0.000  0.500  0.500
Co  0.500  0.000  0.500
C  0.000  0.000  0.500

Values from the calculation:
**Total magnetization**: 2.65 Bohr magnetons per cell
**Space group**: P4/mmm, No. 123
**Raw total energy**: -7.074 eV/atom
**Fermi-level density of states**: 0.9018 states/eV/atom
**Energy of formation**: -0.202 eV per atom


- What is the Fermi-level density of states in the first record?
  1.1343 states/eV/atom


- Look up the energy of formation of the first one.
  0.095 eV per atom


- Among the records above, which one has the lowest energy of formation?
  TiGaCo2C